No. 1
This record from Alexandria describes a relaxed structure of KPuCu2I8. The functional is PBE-GGA.

abc: 8.7313 8.7313 8.7313
angles: 104.97 104.97 118.90
Atoms (fractional coordinates):
1 K 0.0000 0.0000 0.0000
2 Pu 0.2500 0.7500 0.5000
3 Cu 0.5000 0.5000 0.0000
4 Cu 0.7500 0.2500 0.5000
5 I 0.3300 0.1290 0.7990
6 I 0.3300 0.5310 0.2010
7 I 0.3749 0.0484 0.3265
8 I 0.4690 0.6700 0.7990
9 I 0.7219 0.0484 0.6735
10 I 0.8710 0.6700 0.2010
11 I 0.9516 0.2781 0.3265
12 I 0.9516 0.6251 0.6735

E = -3.58 eV/atom
DOS at the Fermi energy = 1.961 states/eV/atom



No. 2
This record from Alexandria describes a relaxed structure of AgWIN2. The functional is PBE-GGA.

abc: 4.1024 4.1024 7.5724
angles: 90.00 90.00 90.00
Atoms (fractional coordinates):
1 Ag 0.0000 0.0000 0.0000
2 W 0.5000 0.5000 0.5000
3 I 0.0000 0.0000 0.5000
4 N 0.0000 0.5000 0.0000
5 N 0.5000 0.0000 0.0000

E = -4.20 eV/atom
DOS at the Fermi energy = 0.547 states/eV/atom



no.,formation energy from raw total energies (eV/atom)
1,-0.5769
2,2.6016